No. 1
DFT (SCAN) results for a crystal of TaAg3 relaxed with PBEsol.

Calculated values
* DFT total energy: -38.157 eV per atom
* mass density: 6.120 Mg/m³
* magnetic moment: 0.0 μB/f.u.
* symmetry: Pm-3m, No. 221
* E_form: 2.014 eV/atom
* calculated volume: 136.9 Å³/cell

Cell lengths 5.1540, 5.1540, 5.1540 Å; angles 90.00, 90.00, 90.00 degrees
Fractional coordinates of all 4 atoms:
Ta  0.0000  0.0000  0.0000
Ag  0.0000  0.0000  0.5000
Ag  0.0000  0.5000  0.0000
Ag  0.5000  0.0000  0.0000

---

No. 2
DFT (SCAN) results for a crystal of KZrHg2 relaxed with PBEsol.

Calculated values
* distance to the lowest polymorph of the same formula: 543.8 meV/atom
* DFT total energy: -43.437 eV per atom
* mass density: 9.731 Mg/m³
* magnetic moment: 1.0 μB/f.u.
* symmetry: F-43m, No. 216
* E_form: 0.403 eV/atom
* calculated volume: 90.7 Å³/cell

Cell lengths 5.0433, 5.0433, 5.0433 Å; angles 60.00, 60.00, 60.00 degrees
Fractional coordinates of all 4 atoms:
K  0.0000  0.0000  0.0000
Zr  0.7500  0.7500  0.7500
Hg  0.2500  0.2500  0.2500
Hg  0.5000  0.5000  0.5000

---

No. 3
DFT (SCAN) results for a crystal of Tl3BH relaxed with PBEsol.

Calculated values
* DFT total energy: -44.518 eV per atom
* mass density: 10.124 Mg/m³
* magnetic moment: 0.0 μB/f.u.
* symmetry: Pm-3m, No. 221
* calculated volume: 102.5 Å³/cell

Cell lengths 4.6801, 4.6801, 4.6801 Å; angles 90.00, 90.00, 90.00 degrees
Fractional coordinates of all 5 atoms:
Tl  0.0000  0.0000  0.5000
Tl  0.0000  0.5000  0.0000
Tl  0.5000  0.0000  0.0000
B  0.5000  0.5000  0.5000
H  0.0000  0.0000  0.0000

---

No. 4
DFT (SCAN) results for a crystal of AlPbS2 relaxed with PBEsol.

Calculated values
* DFT total energy: -26.338 eV per atom
* mass density: 5.601 Mg/m³
* magnetic moment: 0.0 μB/f.u.
* symmetry: I-42d, No. 122
* E_form (uncorrected): -641.0 meV/atom
* calculated volume: 176.9 Å³/cell

Cell lengths 6.1266, 6.1266, 6.1266 Å; angles 110.38, 110.38, 107.67 degrees
Fractional coordinates of all 8 atoms:
Al  0.0000  0.0000  0.0000
Al  0.7500  0.2500  0.5000
Pb  0.2500  0.7500  0.5000
Pb  0.5000  0.5000  0.0000
S  0.0387  0.1250  0.4137
S  0.3750  0.9613  0.0863
S  0.7113  0.6250  0.5863
S  0.8750  0.2887  0.9137